[1]
A relaxed structure of TeMo2Br. Source: Alexandria via LeMat-Bulk, functional PBE.

## Properties
- volume (A^3/atom) = 19.9
- space-group type = Cmmm, No. 65
- formation energy (no corrections) (kJ/mol of formula units) = 368

Unit cell a=3.2157 b=5.6604 c=8.7634 alpha=90.00 beta=90.00 gamma=90.00
Last column: nearest neighbours and their distance in Å.
Fractional coordinates of all 8 atoms:
Te  0.0000  0.0000  0.0000  4 Mo 2.68
Te  0.5000  0.5000  0.0000  4 Mo 2.68
Mo  0.0000  0.5000  0.2446  2 Te 2.68, 2 Br 2.76
Mo  0.0000  0.5000  0.7554  2 Te 2.68, 2 Br 2.76
Mo  0.5000  0.0000  0.2446  2 Te 2.68, 2 Br 2.76
Mo  0.5000  0.0000  0.7554  2 Te 2.68, 2 Br 2.76
Br  0.0000  0.0000  0.5000  4 Mo 2.76
Br  0.5000  0.5000  0.5000  4 Mo 2.76

[2]
A relaxed structure of TbYTeS. Source: Alexandria via LeMat-Bulk, functional PBE.

## Properties
- volume (A^3/atom) = 25.1
- space-group type = R3m, No. 160
- formation energy (no corrections) (kJ/mol of formula units) = -657

Unit cell a=4.0306 b=4.0306 c=21.4479 alpha=90.00 beta=90.00 gamma=120.00
Last column: nearest neighbours and their distance in Å.
Fractional coordinates of all 12 atoms:
Tb  0.0000  0.0000  0.0000  3 S 2.79
Tb  0.3333  0.6667  0.6667  3 S 2.79
Tb  0.6667  0.3333  0.3333  3 S 2.79
Y  0.0000  0.0000  0.1947  3 S 2.73
Y  0.3333  0.6667  0.8614  3 S 2.73
Y  0.6667  0.3333  0.5280  3 S 2.73
Te  0.0000  0.0000  0.7647  3 Y 3.12, 3 Tb 3.14
Te  0.3333  0.6667  0.4314  3 Y 3.12, 3 Tb 3.14
Te  0.6667  0.3333  0.0981  3 Y 3.12, 3 Tb 3.14
S  0.0000  0.0000  0.5949  3 Y 2.73, 3 Tb 2.79
S  0.3333  0.6667  0.2616  3 Y 2.73, 3 Tb 2.79
S  0.6667  0.3333  0.9283  3 Y 2.73, 3 Tb 2.79

Per-record magnetic moment, μB/cell: 3.497 0.000